No. 1
First-principles (PBE) data for Hg3I after structural relaxation, as listed in the Alexandria database.

Cell and atoms, written as CIF:
```
data_Hg3I
_chemical_formula_sum 'Hg3 I1'
_cell_length_a 5.0020
_cell_length_b 5.0020
_cell_length_c 5.0020
_cell_angle_alpha 90.00
_cell_angle_beta 90.00
_cell_angle_gamma 90.00
_symmetry_space_group_name_H-M 'P m -3 m'
_symmetry_Int_Tables_number 221
_symmetry_space_group_name_Hall '-P 4 2 3'
loop_
_atom_site_label
_atom_site_fract_x
_atom_site_fract_y
_atom_site_fract_z
Hg1 0.0000 0.0000 0.5000
I1 0.5000 0.5000 0.5000
```

* energy relative to the lowest polymorph listed for this composition: 4.608 kcal/mol of atoms
* formation energy from raw total energies: 96 meV per atom

No. 2
First-principles (PBE) data for Mn2ZnGa2 after structural relaxation, as listed in the Alexandria database.

Cell and atoms, written as CIF:
```
data_Mn2ZnGa2
_chemical_formula_sum 'Mn4 Zn2 Ga4'
_cell_length_a 6.9442
_cell_length_b 6.9442
_cell_length_c 3.0345
_cell_angle_alpha 90.00
_cell_angle_beta 90.00
_cell_angle_gamma 90.00
_symmetry_space_group_name_H-M 'P 4/m b m'
_symmetry_Int_Tables_number 127
_symmetry_space_group_name_Hall '-P 4 2ab'
loop_
_atom_site_label
_atom_site_fract_x
_atom_site_fract_y
_atom_site_fract_z
Mn1 0.1701 0.3299 0.0000
Zn1 0.0000 0.0000 0.5000
Ga1 0.1304 0.6304 0.5000
```

* energy relative to the lowest polymorph listed for this composition: 1.607 kcal/mol of atoms
* formation enthalpy at 0 K: 0.028 eV/atom

No. 3
First-principles (PBE) data for TlH2Ir2 after structural relaxation, as listed in the Alexandria database.

Cell and atoms, written as CIF:
```
data_TlH2Ir2
_chemical_formula_sum 'Tl2 H4 Ir4'
_cell_length_a 3.0966
_cell_length_b 3.0966
_cell_length_c 12.1514
_cell_angle_alpha 90.00
_cell_angle_beta 90.00
_cell_angle_gamma 90.00
_symmetry_space_group_name_H-M 'I 4/m m m'
_symmetry_Int_Tables_number 139
_symmetry_space_group_name_Hall '-I 4 2'
loop_
_atom_site_label
_atom_site_fract_x
_atom_site_fract_y
_atom_site_fract_z
Tl1 0.0000 0.0000 0.0000
H1 0.0000 0.5000 0.2500
Ir1 0.0000 0.0000 0.3420
```

* E: -4.90 eV/atom

No. 4
First-principles (PBE) data for SrInGa2Ir after structural relaxation, as listed in the Alexandria database.

Cell and atoms, written as CIF:
```
data_SrInGa2Ir
_chemical_formula_sum 'Sr1 In1 Ga2 Ir1'
_cell_length_a 4.8634
_cell_length_b 4.8634
_cell_length_c 5.2267
_cell_angle_alpha 90.00
_cell_angle_beta 90.00
_cell_angle_gamma 90.00
_symmetry_space_group_name_H-M 'P 4/m m m'
_symmetry_Int_Tables_number 123
_symmetry_space_group_name_Hall '-P 4 2'
loop_
_atom_site_label
_atom_site_fract_x
_atom_site_fract_y
_atom_site_fract_z
Sr1 0.0000 0.0000 0.0000
In1 0.5000 0.5000 0.0000
Ga1 0.0000 0.5000 0.5000
Ir1 0.5000 0.5000 0.5000
```

* formation enthalpy at 0 K: -0.321 eV/atom